## FeOs2W (GGA-PBE)

Data for a relaxed FeOs2W crystal.

Its offset from the most stable computed form is 164 meV per atom. For the total energy, the calculation gives -10.76 eV per atom.

a = 3.141 Å, b = 3.141 Å, c = 5.813 Å
α = 90.00°, β = 90.00°, γ = 90.00°
Fractional coordinates of all 4 atoms:
Fe (0.000, 0.000, 0.000)
Os (0.500, 0.500, 0.234)
Os (0.500, 0.500, 0.766)
W (0.000, 0.000, 0.500)



## FeOs2W (GGA-PBE)

Data for a relaxed FeOs2W crystal.

Its offset from the most stable computed form is 75 meV per atom. For the total energy, the calculation gives -10.85 eV per atom.

a = 2.723 Å, b = 3.764 Å, c = 5.450 Å
α = 90.00°, β = 90.00°, γ = 90.00°
Fractional coordinates of all 4 atoms:
Fe (0.000, 0.000, 0.000)
Os (0.000, 0.000, 0.481)
Os (0.500, 0.500, 0.227)
W (0.500, 0.500, 0.753)



## Fe2OsW (GGA-PBE)

Data for a relaxed Fe2OsW crystal.

For the total energy, the calculation gives -10.13 eV per atom.

a = 2.643 Å, b = 4.151 Å, c = 5.073 Å
α = 90.00°, β = 102.45°, γ = 90.00°
Fractional coordinates of all 4 atoms:
Fe (0.000, 0.000, 0.000)
Fe (0.171, 0.500, 0.778)
Os (0.706, 0.500, 0.254)
W (0.445, 0.000, 0.517)



## FeOsW (GGA-PBE)

Data for a relaxed FeOsW crystal.

Its offset from the most stable computed form is 0 meV per atom. For the total energy, the calculation gives -10.75 eV per atom.

a = 4.691 Å, b = 4.691 Å, c = 4.691 Å
α = 146.14°, β = 131.88°, γ = 60.13°
Fractional coordinates of all 3 atoms:
Fe (0.000, 0.000, 0.000)
Os (0.342, 0.342, 0.000)
W (0.670, 0.670, 0.000)